# Ba2Al2Pd

An optimized crystal structure of Ba2Al2Pd (PBE-GGA, the Alexandria database). Values from VASP.

Summary:
polymorph energy (0 for the lowest one): 0 meV per atom
calculated total energy: -3.74 eV per atom
ΔH_f (0 K): -0.440 eV per atom

```
&SYSTEM
  ibrav = 0, nat = 5, ntyp = 3
/
ATOMIC_SPECIES
Pd 106.42 Pd.upf
Al 26.98 Al.upf
Ba 137.33 Ba.upf
CELL_PARAMETERS angstrom
4.1968 0.0000 1.2048
1.9255 3.7290 1.2048
-0.7728 -0.4707 10.6041
ATOMIC_POSITIONS angstrom
Pd 0.0000 0.0000 0.0000
Al 1.8757 1.1424 1.3783
Al 3.4738 2.1159 11.6353
Ba 2.0783 1.2659 8.5845
Ba 3.2712 1.9925 4.4291
```

***

# K3GePb

An optimized crystal structure of K3GePb (PBE-GGA, the Alexandria database). Values from VASP.

Summary:
calculated total energy: -1.93 eV per atom
ΔH_f (0 K): 0.393 eV per atom

```
&SYSTEM
  ibrav = 0, nat = 5, ntyp = 3
/
ATOMIC_SPECIES
K 39.10 K.upf
Ge 72.64 Ge.upf
Pb 207.20 Pb.upf
CELL_PARAMETERS angstrom
-1.7888 -5.4166 2.9132
0.2039 -3.0845 -5.6099
6.1469 -1.4740 1.0339
ATOMIC_POSITIONS angstrom
K 0.1020 -1.5422 -2.8049
K -0.8944 -2.7083 1.4566
K 3.0735 -0.7370 0.5169
Ge 0.0000 0.0000 0.0000
Pb 2.2810 -4.9875 -0.8314
```